Density functional theory data (PBE) for a relaxed Sr5Zn5Pd2 crystal.

```
data_Sr5Zn5Pd2
_cell_length_a 4.360
_cell_length_b 8.531
_cell_length_c 9.646
_cell_angle_alpha 83.80
_cell_angle_beta 76.94
_cell_angle_gamma 75.19
_space_group_name_H-M_alt 'P 1'
_space_group_IT_number 1
_space_group_name_Hall 'P 1'
loop_
_atom_site_label
_atom_site_type_symbol
_atom_site_fract_x
_atom_site_fract_y
_atom_site_fract_z
Pd1 Pd 0.610 0.541 0.239
Pd2 Pd 0.390 0.459 0.761
Sr1 Sr 0.378 0.921 0.322
Sr2 Sr 0.000 0.500 0.500
Sr3 Sr 0.622 0.079 0.678
Sr4 Sr 0.699 0.688 0.915
Sr5 Sr 0.301 0.312 0.085
Zn1 Zn 0.065 0.699 0.171
Zn2 Zn 0.000 0.000 0.000
Zn3 Zn 0.293 0.758 0.656
Zn4 Zn 0.707 0.242 0.344
Zn5 Zn 0.935 0.301 0.829
```

## Properties
Final energy   -29.5 eV/cell
E_form   -365 meV/atom
Total magnetic moment   0.000 μB per atom